#1
# La2DySi2

La2DySi2 after structural relaxation (PBE, Alexandria via LeMat-Bulk). Values from VASP.

Quantum ESPRESSO input file:
```
&SYSTEM
  ibrav = 0, nat = 10, ntyp = 3
/
ATOMIC_SPECIES
La 138.91 La.upf
Dy 162.50 Dy.upf
Si 28.09 Si.upf
CELL_PARAMETERS angstrom
6.308 -2.213 0.000
6.308 2.213 0.000
-5.030 0.000 9.759
ATOMIC_POSITIONS angstrom
La -0.756 0.000 1.839
La -0.712 0.000 5.768
La 8.298 0.000 3.991
La 8.343 0.000 7.921
Dy 2.800 0.000 1.284
Dy 4.786 0.000 8.476
Si 0.165 0.000 9.246
Si 3.177 0.000 5.917
Si 4.409 0.000 3.842
Si 7.421 0.000 0.513
```

## Properties
Space-group type: No. 12
V: 136 Å³/f.u.

#2
# La2DySi2

La2DySi2 after structural relaxation (PBE, Alexandria via LeMat-Bulk). Values from VASP.

Quantum ESPRESSO input file:
```
&SYSTEM
  ibrav = 0, nat = 10, ntyp = 3
/
ATOMIC_SPECIES
La 138.91 La.upf
Dy 162.50 Dy.upf
Si 28.09 Si.upf
CELL_PARAMETERS angstrom
7.694 0.000 0.000
0.000 7.694 0.000
0.000 0.000 4.515
ATOMIC_POSITIONS angstrom
La 1.367 2.480 0.000
La 2.480 6.327 0.000
La 5.214 1.367 0.000
La 6.327 5.214 0.000
Dy 0.000 0.000 2.257
Dy 3.847 3.847 2.257
Si 0.872 4.719 2.257
Si 2.975 0.872 2.257
Si 4.719 6.823 2.257
Si 6.823 2.975 2.257
```

## Properties
Space-group type: No. 127
V: 134 Å³/f.u.

Energies relative to the most stable structure, in kJ/mol of atoms: #1 4.7; #2 0.0.

#1
# LaSm3Dy

LaSm3Dy after structural relaxation (PBE, Alexandria via LeMat-Bulk). Values from VASP.

Quantum ESPRESSO input file:
```
&SYSTEM
  ibrav = 0, nat = 10, ntyp = 3
/
ATOMIC_SPECIES
La 138.91 La.upf
Sm 150.36 Sm.upf
Dy 162.50 Dy.upf
CELL_PARAMETERS angstrom
6.377 0.000 0.000
-3.185 6.135 0.000
-0.016 -3.351 8.791
ATOMIC_POSITIONS angstrom
La -1.082 1.937 1.344
La 4.257 0.847 7.447
Sm 1.058 -0.819 2.206
Sm -1.071 3.095 4.813
Sm 2.121 -1.933 8.331
Sm 1.054 4.717 0.460
Sm 4.246 -0.311 3.979
Sm 2.117 3.603 6.585
Dy 1.037 0.277 5.683
Dy 2.138 2.507 3.108
```

## Properties
Space-group type: No. 2
V: 172 Å³/f.u.

#2
# LaSm3Dy

LaSm3Dy after structural relaxation (PBE, Alexandria via LeMat-Bulk). Values from VASP.

Quantum ESPRESSO input file:
```
&SYSTEM
  ibrav = 0, nat = 20, ntyp = 3
/
ATOMIC_SPECIES
La 138.91 La.upf
Sm 150.36 Sm.upf
Dy 162.50 Dy.upf
CELL_PARAMETERS angstrom
10.276 0.000 0.000
0.000 3.637 0.000
0.000 0.000 18.202
ATOMIC_POSITIONS angstrom
La 1.310 0.909 0.927
La 3.828 2.727 10.027
La 6.448 0.909 8.174
La 8.967 2.727 17.275
Sm 1.247 0.909 8.166
Sm 1.286 0.909 4.556
Sm 1.301 0.909 15.451
Sm 3.837 2.727 6.350
Sm 3.852 2.727 13.657
Sm 3.891 2.727 17.267
Sm 6.385 0.909 0.935
Sm 6.425 0.909 4.545
Sm 6.439 0.909 11.851
Sm 8.975 2.727 2.750
Sm 8.990 2.727 13.646
Sm 9.030 2.727 10.035
Dy 1.256 0.909 11.855
Dy 3.882 2.727 2.754
Dy 6.394 0.909 15.448
Dy 9.021 2.727 6.347
```

## Properties
Space-group type: No. 62
V: 170 Å³/f.u.

Energies relative to the most stable structure, in kJ/mol of atoms: #1 0.9; #2 0.0.